# FeSe2F

FeSe2F after structural relaxation (GGA+U, Alexandria).

a b c (Å): 7.427 7.427 7.427
angles (deg): 29.38 29.38 29.38
Last column: magnetic moment on the atom in μB.
Positions (direct):
Fe 0.500 0.500 0.500  -3.73
F 0.000 0.000 0.000  0.07
Se 0.898 0.898 0.898  -0.04
Se 0.102 0.102 0.102  -0.04

ΔE to the lowest computed polymorph = 0.000 eV/atom
Total moment = 3.85 μB per formula unit
DFT total energy = -3.93 eV per atom